## NaNd2Br6 (PBE)

Data for a geometry-optimized NaNd2Br6 structure.

Structure (POSCAR):
```
NaNd2Br6
1.0
7.293 0.000 0.000
-3.646 6.316 0.000
0.000 0.000 6.985
Na Nd Br
1 2 6
direct
0.000 0.000 0.000
0.333 0.667 0.500
0.667 0.333 0.500
0.000 0.340 0.745
0.000 0.660 0.255
0.340 0.000 0.745
0.340 0.340 0.255
0.660 0.000 0.255
0.660 0.660 0.745
```

Values from the calculation:
E_form (uncorrected) = -1.695 eV/atom